Entry 1:
Density functional theory data (PBE) for a relaxed structure of Al2ZnFeH.

Values from the calculation:
**Crystal system**: tetragonal

a b c (Å): 4.719 4.719 3.206
angles (deg): 90.00 90.00 90.00
Fractional positions:
Al: 0.000 0.500 0.000
Al: 0.500 0.000 0.000
Zn: 0.000 0.000 0.500
Fe: 0.500 0.500 0.000
H: 0.500 0.500 0.500

Entry 2:
Density functional theory data (PBE) for a relaxed structure of AlZnFe2H.

Values from the calculation:
**Crystal system**: tetragonal

a b c (Å): 3.676 3.676 3.867
angles (deg): 90.00 90.00 90.00
Fractional positions:
Al: 0.000 0.000 0.000
Zn: 0.500 0.500 0.000
Fe: 0.000 0.500 0.500
Fe: 0.500 0.000 0.500
H: 0.500 0.500 0.500

Entry 3:
Density functional theory data (PBE) for a relaxed structure of AlZnFe2H.

Values from the calculation:
**Crystal system**: tetragonal

a b c (Å): 3.660 3.660 3.885
angles (deg): 90.00 90.00 90.00
Fractional positions:
Al: 0.000 0.000 0.000
Zn: 0.500 0.500 0.000
Fe: 0.000 0.500 0.500
Fe: 0.500 0.000 0.500
H: 0.000 0.000 0.500

Entry 4:
Density functional theory data (PBE) for a relaxed structure of ZrAl2FeH.

Values from the calculation:
**Crystal system**: tetragonal

a b c (Å): 4.072 4.072 4.060
angles (deg): 90.00 90.00 90.00
Fractional positions:
Zr: 0.000 0.000 0.000
Al: 0.000 0.500 0.500
Al: 0.500 0.000 0.500
Fe: 0.500 0.500 0.000
H: 0.000 0.000 0.500

Entry 5:
Density functional theory data (PBE) for a relaxed structure of Zr6Al2FeH10.

Values from the calculation:
**Crystal system**: hexagonal

a b c (Å): 8.115 8.115 7.132
angles (deg): 90.00 90.00 120.00
Fractional positions:
Zr: 0.000 0.740 0.000
Zr: 0.000 0.740 0.500
Zr: 0.049 0.426 0.250
Zr: 0.260 0.260 0.000
Zr: 0.260 0.260 0.500
Zr: 0.378 0.951 0.250
Zr: 0.426 0.049 0.750
Zr: 0.574 0.622 0.250
Zr: 0.622 0.574 0.750
Zr: 0.740 0.000 0.000
Zr: 0.740 0.000 0.500
Zr: 0.951 0.378 0.750
Al: 0.333 0.667 0.553
Al: 0.333 0.667 0.947
Al: 0.667 0.333 0.053
Al: 0.667 0.333 0.447
Fe: 0.000 0.000 0.250
Fe: 0.000 0.000 0.750
H: 0.000 0.000 0.000
H: 0.000 0.000 0.500
H: 0.000 0.282 0.000
H: 0.000 0.282 0.500
H: 0.118 0.238 0.750
H: 0.118 0.708 0.250
H: 0.121 0.882 0.750
H: 0.238 0.118 0.250
H: 0.282 0.000 0.000
H: 0.282 0.000 0.500
H: 0.292 0.409 0.250
H: 0.409 0.292 0.750
H: 0.591 0.882 0.250
H: 0.708 0.118 0.750
H: 0.718 0.718 0.000
H: 0.718 0.718 0.500
H: 0.762 0.879 0.750
H: 0.879 0.762 0.250
H: 0.882 0.121 0.250
H: 0.882 0.591 0.750

Entry 6:
Density functional theory data (PBE) for a relaxed structure of Zr2AlFeH.

Values from the calculation:
**Crystal system**: tetragonal

a b c (Å): 4.434 4.434 3.676
angles (deg): 90.00 90.00 90.00
Fractional positions:
Zr: 0.000 0.500 0.000
Zr: 0.500 0.000 0.000
Al: 0.000 0.000 0.500
Fe: 0.500 0.500 0.500
H: 0.500 0.500 0.000

| no. | density of states at the Fermi level (states/eV per cell) | electronic total energy (eV per atom) |
| --- | --- | --- |
| 1 | 3.96 | -3.738 |
| 2 | 4.06 | -5.067 |
| 3 | 3.83 | -5.056 |
| 4 | 3.91 | -5.716 |
| 5 | 14.41 | -5.740 |
| 6 | 3.35 | -6.814 |